# Ti6AlRe5

Crystalline Ti6AlRe5 at its relaxed geometry (PBE-GGA, Alexandria).

```
Ti6AlRe5
1.0
-2.198 3.135 6.639
2.198 -3.135 6.639
2.198 3.135 -6.639
Ti Al Re
6 1 5
Cartesian
2.198 1.537 -2.257
0.000 1.494 0.000
2.198 1.537 2.257
0.000 1.598 4.382
0.000 4.775 0.000
0.000 1.598 8.896
0.000 0.000 6.639
2.198 0.000 0.000
0.000 0.000 2.227
2.198 0.000 4.498
0.000 3.135 2.142
0.000 0.000 11.052
```

Values from the calculation:
DOS(E_F): 9.42 states/eV per cell
theoretical density: 11.3 g/cm3
formation energy: -0.43 eV per atom

---

# Ti3AlRe2

Crystalline Ti3AlRe2 at its relaxed geometry (PBE-GGA, Alexandria).

```
Ti3AlRe2
1.0
3.183 0.000 0.000
0.000 3.183 0.000
0.000 0.000 9.179
Ti Al Re
3 1 2
Cartesian
0.000 0.000 0.000
0.000 0.000 2.969
0.000 0.000 6.210
1.591 1.591 4.590
1.591 1.591 1.575
1.591 1.591 7.604
```

Values from the calculation:
DOS(E_F): 3.66 states/eV per cell
theoretical density: 9.7 g/cm3
formation energy: -0.47 eV per atom

---

# TiAl2Re

Crystalline TiAl2Re at its relaxed geometry (PBE-GGA, Alexandria).

```
TiAl2Re
1.0
3.818 0.000 0.000
0.000 3.818 0.000
0.000 0.000 4.145
Ti Al Re
1 2 1
Cartesian
0.000 0.000 0.000
0.000 1.909 2.072
1.909 0.000 2.072
1.909 1.909 0.000
```

Values from the calculation:
DOS(E_F): 3.32 states/eV per cell
theoretical density: 7.9 g/cm3
formation energy: -0.31 eV per atom
energy above the most stable polymorph in this dataset: 0.000 eV per atom